This record from Alexandria via LeMat-Bulk describes a relaxed structure of Tb2CuPt4. The functional is GGA-PBE.

Results
Its space-group type is I4/mmm, No. 139.

Cell: 7.8752 7.8752 7.8752 Å, 145.94 145.94 48.93°
With the nearest neighbours (Å) after each atom.
Element x y z (fractional)
Tb 0.1375 0.1375 0.0000  5 Pt 2.74-3.03
Tb 0.8625 0.8625 0.0000  5 Pt 2.74-3.03
Cu 0.5000 0.5000 0.0000  6 Pt 2.31-2.46
Pt 0.0000 0.5000 0.5000  2 Cu 2.31
Pt 0.3285 0.3285 0.0000  1 Cu 2.46, 1 Tb 2.74
Pt 0.5000 0.0000 0.5000  2 Cu 2.31
Pt 0.6715 0.6715 0.0000  1 Cu 2.46, 1 Tb 2.74

***

This record from Alexandria via LeMat-Bulk describes a relaxed structure of TbCu2Pt3. The functional is GGA-PBE.

Results
Its space-group type is R-3m, No. 166.

Cell: 7.9452 7.9452 7.9452 Å, 41.56 41.56 41.56°
With the nearest neighbours (Å) after each atom.
Element x y z (fractional)
Tb 0.2079 0.2079 0.2079  9 Pt 2.89-2.94, 3 Cu 3.18
Tb 0.7921 0.7921 0.7921  9 Pt 2.89-2.94, 3 Cu 3.18
Cu 0.0000 0.0000 0.0000  6 Pt 2.66, 6 Cu 2.82
Cu 0.0000 0.5000 0.5000  4 Pt 2.64, 6 Cu 2.82
Cu 0.5000 0.0000 0.5000  4 Pt 2.64, 6 Cu 2.82
Cu 0.5000 0.5000 0.0000  4 Pt 2.64, 6 Cu 2.82
Pt 0.2418 0.7350 0.7350  3 Cu 2.64-2.66, 4 Pt 2.78-2.86, 3 Tb 2.89-2.94
Pt 0.2650 0.2650 0.7582  3 Cu 2.64-2.66, 4 Pt 2.78-2.86, 3 Tb 2.89-2.94
Pt 0.2650 0.7582 0.2650  3 Cu 2.64-2.66, 4 Pt 2.78-2.86, 3 Tb 2.89-2.94
Pt 0.7350 0.2418 0.7350  3 Cu 2.64-2.66, 4 Pt 2.78-2.86, 3 Tb 2.89-2.94
Pt 0.7350 0.7350 0.2418  3 Cu 2.64-2.66, 4 Pt 2.78-2.86, 3 Tb 2.89-2.94
Pt 0.7582 0.2650 0.2650  3 Cu 2.64-2.66, 4 Pt 2.78-2.86, 3 Tb 2.89-2.94

***

This record from Alexandria via LeMat-Bulk describes a relaxed structure of TbCu5Pt2. The functional is GGA-PBE.

Results
Its space-group type is Immm, No. 71.

Cell: 6.1866 6.1866 6.1866 Å, 143.68 107.94 83.47°
With the nearest neighbours (Å) after each atom.
Element x y z (fractional)
Tb 0.0000 0.0000 0.0000  4 Pt 2.85
Cu 0.1876 0.3626 0.8250  3 Pt 2.51-2.62, 4 Cu 2.54-2.64
Cu 0.4624 0.6374 0.8250  3 Pt 2.51-2.62, 4 Cu 2.54-2.64
Cu 0.5000 0.0000 0.5000  2 Pt 2.51, 8 Cu 2.64
Cu 0.5376 0.3626 0.1750  3 Pt 2.51-2.62, 4 Cu 2.54-2.64
Cu 0.8124 0.6374 0.1750  3 Pt 2.51-2.62, 4 Cu 2.54-2.64
Pt 0.2279 0.7279 0.5000  7 Cu 2.51-2.62
Pt 0.7721 0.2721 0.5000  7 Cu 2.51-2.62

***

| no. | E_form (kJ/mol of atoms) | total moment (μB per atom) |
| --- | --- | --- |
| 1 | -34.8 | 0.000 |
| 2 | -56.8 | 0.000 |
| 3 | -23.4 | 0.000 |